# 1
This record from Alexandria via LeMat-Bulk describes a geometry-optimized PmPaRh2 structure. The functional is PBE-GGA.

Values from the calculation:
- relative energy among the computed polymorphs (meV/atom) = 0
- total DFT energy (no corrections) (eV/atom) = -8.067
- N(E_F) (states/eV per atom) = 0.76

Cell and atoms, written as CIF:
```
data_PmPaRh2
_symmetry_space_group_name_H-M 'P 1 21/m 1'
_symmetry_Int_Tables_number 11
_cell_length_a 5.978
_cell_length_b 4.079
_cell_length_c 7.741
_cell_angle_alpha 90.00
_cell_angle_beta 109.41
_cell_angle_gamma 90.00
loop_
_symmetry_equiv_pos_as_xyz
'x,y,z'
'-x,-y,-z'
'-x,y+1/2,-z'
'x,-y+1/2,z'
loop_
_atom_site_label
_atom_site_fract_x
_atom_site_fract_y
_atom_site_fract_z
Pm1 0.227 0.250 0.436
Pa1 0.221 0.250 0.931
Rh1 0.291 0.750 0.174
Rh2 0.322 0.750 0.740
```

# 2
This record from Alexandria via LeMat-Bulk describes a geometry-optimized PmPaRh2 structure. The functional is PBE-GGA.

Values from the calculation:
- relative energy among the computed polymorphs (meV/atom) = 88
- total DFT energy (no corrections) (eV/atom) = -7.979
- N(E_F) (states/eV per atom) = 0.63

Cell and atoms, written as CIF:
```
data_PmPaRh2
_symmetry_space_group_name_H-M 'R -3 m'
_symmetry_Int_Tables_number 166
_symmetry_space_group_name_Hall '-R 3 2"'
_cell_length_a 4.5162
_cell_length_b 4.5162
_cell_length_c 15.4526
_cell_angle_alpha 90.00
_cell_angle_beta 90.00
_cell_angle_gamma 120.00
loop_
_atom_site_label
_atom_site_fract_x
_atom_site_fract_y
_atom_site_fract_z
Pm1 0.0000 0.0000 0.0000
Pa1 0.0000 0.0000 0.5000
Rh1 0.0000 0.0000 0.2160
```

# 3
This record from Alexandria via LeMat-Bulk describes a geometry-optimized PmPaRh3 structure. The functional is PBE-GGA.

Values from the calculation:
- relative energy among the computed polymorphs (meV/atom) = 0
- total DFT energy (no corrections) (eV/atom) = -7.987
- N(E_F) (states/eV per atom) = 0.69

Cell and atoms, written as CIF:
```
data_PmPaRh3
_symmetry_space_group_name_H-M 'P m m a'
_symmetry_Int_Tables_number 51
_cell_length_a 5.528
_cell_length_b 4.215
_cell_length_c 9.164
_cell_angle_alpha 90.00
_cell_angle_beta 90.00
_cell_angle_gamma 90.00
loop_
_symmetry_equiv_pos_as_xyz
'x,y,z'
'-x,-y,-z'
'-x+1/2,-y,z'
'x+1/2,y,-z'
'x+1/2,-y,-z'
'-x+1/2,y,z'
'-x,y,-z'
'x,-y,z'
loop_
_atom_site_label
_atom_site_fract_x
_atom_site_fract_y
_atom_site_fract_z
Pm1 0.250 0.000 0.152
Pa1 0.250 0.500 0.666
Rh1 0.000 0.000 0.500
Rh2 0.250 0.500 0.375
Rh3 0.250 0.500 0.929
```

# 4
This record from Alexandria via LeMat-Bulk describes a geometry-optimized Pm2PaRh structure. The functional is PBE-GGA.

Values from the calculation:
- relative energy among the computed polymorphs (meV/atom) = 0
- total DFT energy (no corrections) (eV/atom) = -6.731
- N(E_F) (states/eV per atom) = 1.55

Cell and atoms, written as CIF:
```
data_Pm2PaRh
_symmetry_space_group_name_H-M 'P 4/m m m'
_symmetry_Int_Tables_number 123
_symmetry_space_group_name_Hall '-P 4 2'
_cell_length_a 3.491
_cell_length_b 3.491
_cell_length_c 8.264
_cell_angle_alpha 90.00
_cell_angle_beta 90.00
_cell_angle_gamma 90.00
loop_
_atom_site_label
_atom_site_fract_x
_atom_site_fract_y
_atom_site_fract_z
Pm1 0.000 0.000 0.211
Pa1 0.500 0.500 0.500
Rh1 0.500 0.500 0.000
```